Zn2CuRh | PBEsol | optimized geometry

DOS(E_F) (states/eV/f.u.): 1.63
Crystal system: tetragonal
Total magnetization (μB/atom): 0.000

Lattice parameters (Å, degrees): 3.682 3.682 7.579 90.00 90.00 90.00
Space group I-4m2 (No. 119)
Unique sites:
Zn 0.000 0.000 0.000 (multiplicity 2)
Zn 0.000 0.500 0.250 (multiplicity 2)
Cu 0.000 0.000 0.500 (multiplicity 2)
Rh 0.000 0.500 0.750 (multiplicity 2)



Zn2CuRh | PBEsol | optimized geometry

DOS(E_F) (states/eV/f.u.): 1.45
Crystal system: monoclinic
Total magnetization (μB/atom): 0.000

Lattice parameters (Å, degrees): 9.197 2.873 4.230 90.00 112.44 90.00
Space group Cm (No. 8)
Unique sites:
Zn 0.000 0.000 0.000 (multiplicity 2)
Zn 0.248 0.000 0.648 (multiplicity 2)
Cu 0.004 0.500 0.503 (multiplicity 2)
Rh 0.249 0.500 0.150 (multiplicity 2)



Zn2CuRh | PBEsol | optimized geometry

DOS(E_F) (states/eV/f.u.): 1.15
Crystal system: tetragonal
Total magnetization (μB/atom): 0.000

Lattice parameters (Å, degrees): 3.003 3.003 5.661 90.00 90.00 90.00
Space group P4/mmm (No. 123)
Unique sites:
Zn 0.000 0.000 0.246 (multiplicity 2)
Cu 0.500 0.500 0.000 (multiplicity 1)
Rh 0.500 0.500 0.500 (multiplicity 1)



Zn2CuRh | PBEsol | optimized geometry

DOS(E_F) (states/eV/f.u.): 0.73
Crystal system: tetragonal
Total magnetization (μB/atom): 0.000

Lattice parameters (Å, degrees): 3.812 3.812 3.508 90.00 90.00 90.00
Space group P4/mmm (No. 123)
Unique sites:
Zn 0.000 0.500 0.000 (multiplicity 2)
Cu 0.000 0.000 0.500 (multiplicity 1)
Rh 0.500 0.500 0.500 (multiplicity 1)



ZrCu2Rh | PBEsol | optimized geometry

DOS(E_F) (states/eV/f.u.): 1.61
Crystal system: tetragonal
Total magnetization (μB/atom): 0.000

Lattice parameters (Å, degrees): 3.732 3.732 8.134 90.00 90.00 90.00
Space group I4/mmm (No. 139)
Unique sites:
Zr 0.000 0.000 0.000 (multiplicity 2)
Cu 0.000 0.500 0.250 (multiplicity 4)
Rh 0.000 0.000 0.500 (multiplicity 2)



ZrCu2Rh | PBEsol | optimized geometry

DOS(E_F) (states/eV/f.u.): 1.88
Crystal system: tetragonal
Total magnetization (μB/atom): 0.000

Lattice parameters (Å, degrees): 3.833 3.833 7.756 90.00 90.00 90.00
Space group I-4m2 (No. 119)
Unique sites:
Zr 0.000 0.000 0.000 (multiplicity 2)
Cu 0.000 0.000 0.500 (multiplicity 2)
Cu 0.000 0.500 0.750 (multiplicity 2)
Rh 0.000 0.500 0.250 (multiplicity 2)



ZrCu2Rh | PBEsol | optimized geometry

DOS(E_F) (states/eV/f.u.): 5.46
Crystal system: cubic
Total magnetization (μB/atom): 0.000

Lattice parameters (Å, degrees): 6.115 6.115 6.115 90.00 90.00 90.00
Space group Fm-3m (No. 225)
Unique sites:
Zr 0.000 0.000 0.000 (multiplicity 4)
Cu 0.250 0.250 0.250 (multiplicity 8)
Rh 0.000 0.000 0.500 (multiplicity 4)



ZrCuRh | PBEsol | optimized geometry

DOS(E_F) (states/eV/f.u.): 1.22
Crystal system: orthorhombic
Total magnetization (μB/atom): 0.000

Lattice parameters (Å, degrees): 3.172 3.507 8.333 90.00 90.00 90.00
Space group Imm2 (No. 44)
Unique sites:
Zr 0.000 0.000 0.000 (multiplicity 2)
Cu 0.000 0.000 0.673 (multiplicity 2)
Rh 0.000 0.000 0.337 (multiplicity 2)



Here are the calculated ΔE_f numbers, same order: -0.223; -0.227; -0.262; -0.325; -0.423; -0.360; -0.204; -0.480 (eV per atom).